1.
A plane-wave DFT calculation with PBE was carried out for crystalline LiH2Se at its relaxed geometry.

Values from the calculation:
E above lowest polymorph: 0 meV/atom
M_tot: 0.000 μB/cell

a = 5.5820 Å, b = 3.7803 Å, c = 3.9587 Å
α = 118.52°, β = 134.83°, γ = 90.00°
With the nearest neighbours (Å) after each atom.
Positions (direct):
Li 0.3764 0.3764 0.7528  4 H 1.89-2.08
Se 0.8752 0.3752 0.7504  4 H 1.89-2.09
H 0.3722 0.8722 0.7444  2 Li 1.89, 2 Se 2.06-2.09
H 0.8762 0.8762 0.7524  2 Se 1.89, 2 Li 2.07-2.08

2.
A plane-wave DFT calculation with PBE was carried out for crystalline TcGe3F at its relaxed geometry.

Values from the calculation:
E above lowest polymorph: 727 meV/atom
M_tot: 2.491 μB/cell

a = 4.4446 Å, b = 4.4446 Å, c = 4.4446 Å
α = 90.00°, β = 90.00°, γ = 90.00°
With the nearest neighbours (Å) after each atom.
Positions (direct):
Ge 0.0000 0.0000 0.5000  2 F 2.22
F 0.0000 0.0000 0.0000  6 Ge 2.22
Tc 0.5000 0.5000 0.5000  12 Ge 3.14
Ge 0.0000 0.5000 0.0000  2 F 2.22
Ge 0.5000 0.0000 0.0000  2 F 2.22

3.
A plane-wave DFT calculation with PBE was carried out for crystalline Ce4SiRh2 at its relaxed geometry.

Values from the calculation:
DFT total energy: -6.842 eV/atom
M_tot: 4.160 μB/cell

a = 7.5460 Å, b = 7.5461 Å, c = 7.5820 Å
α = 106.93°, β = 106.93°, γ = 114.50°
With the nearest neighbours (Å) after each atom.
Positions (direct):
Ce 0.5015 0.7515 0.8792  2 Rh 2.68-2.93, 1 Si 2.94
Rh 0.4948 0.3739 0.6188  4 Ce 2.68-2.94
Ce 0.0014 0.2518 0.3789  2 Rh 2.68-2.93, 1 Si 2.94
Ce 0.3782 0.9958 0.2483  2 Rh 2.68-2.94, 1 Si 2.94
Rh 0.7551 0.8759 0.3812  4 Ce 2.68-2.94
Ce 0.3804 0.4977 0.2520  2 Rh 2.68-2.94, 1 Si 2.95
Ce 0.8728 0.6225 0.6211  2 Rh 2.68-2.93, 1 Si 2.94
Ce 0.2457 0.1284 0.7480  2 Rh 2.68-2.94, 1 Si 2.95
Rh 0.6236 0.2446 0.1187  4 Ce 2.68-2.94
Si 0.0003 0.0003 0.0000  8 Ce 2.94-3.11
Ce 0.8724 0.6223 0.1208  2 Rh 2.68-2.93, 1 Si 2.94
Si 0.2503 0.7503 0.5000  8 Ce 2.94-3.11
Ce 0.7475 0.1299 0.7517  2 Rh 2.68-2.94, 1 Si 2.94
Rh 0.1259 0.5050 0.8813  4 Ce 2.68-2.94

4.
A plane-wave DFT calculation with PBE was carried out for crystalline Ca2ZrTe at its relaxed geometry.

Values from the calculation:
DFT total energy: -4.236 eV/atom
M_tot: 0.000 μB/cell

a = 4.7878 Å, b = 4.0540 Å, c = 6.5861 Å
α = 72.07°, β = 90.00°, γ = 90.00°
With the nearest neighbours (Å) after each atom.
Positions (direct):
Te 0.0000 0.6925 0.4906  2 Zr 2.91
Ca 0.5000 0.2811 0.3131  4 Te 3.33, 3 Zr 3.42-3.51
Ca 0.0000 0.9658 0.9430  4 Zr 3.35, 3 Te 3.43-3.49
Zr 0.5000 0.5606 0.7533  2 Te 2.91

5.
A plane-wave DFT calculation with PBE was carried out for crystalline Th4TlRh12 at its relaxed geometry.

Values from the calculation:
ΔE_f: -606 meV per atom
M_tot: 0.000 μB/cell

a = 7.4201 Å, b = 7.4201 Å, c = 7.4201 Å
α = 109.47°, β = 109.47°, γ = 109.47°
With the nearest neighbours (Å) after each atom.
Positions (direct):
Rh 0.7500 0.5000 0.2500  4 Rh 2.70
Rh 0.5000 0.2500 0.7500  4 Rh 2.70
Rh 0.3074 0.3074 0.0000  1 Tl 2.63, 4 Rh 2.70
Rh 0.5000 0.7500 0.2500  4 Rh 2.70
Rh 0.7500 0.2500 0.5000  4 Rh 2.70
Rh 0.2500 0.7500 0.5000  4 Rh 2.70
Rh 0.6926 0.0000 0.6926  1 Tl 2.63, 4 Rh 2.70
Th 0.5000 0.5000 0.5000  12 Rh 3.03-3.07
Rh 0.0000 0.6926 0.6926  1 Tl 2.63, 4 Rh 2.70
Rh 0.6926 0.6926 0.0000  1 Tl 2.63, 4 Rh 2.70
Tl 0.0000 0.0000 0.0000  6 Rh 2.63
Rh 0.0000 0.3074 0.3074  1 Tl 2.63, 4 Rh 2.70
Th 0.0000 0.5000 0.0000  12 Rh 3.03-3.07
Th 0.0000 0.0000 0.5000  12 Rh 3.03-3.07
Rh 0.2500 0.5000 0.7500  4 Rh 2.70
Rh 0.3074 0.0000 0.3074  1 Tl 2.63, 4 Rh 2.70
Th 0.5000 0.0000 0.0000  12 Rh 3.03-3.07

6.
A plane-wave DFT calculation with PBE was carried out for crystalline CaBPt2 at its relaxed geometry.

Values from the calculation:
ΔE_f: -436 meV per atom
M_tot: 0.000 μB/cell

a = 5.1181 Å, b = 5.1181 Å, c = 7.5116 Å
α = 70.08°, β = 70.08°, γ = 90.00°
With the nearest neighbours (Å) after each atom.
Positions (direct):
Ca 0.0000 0.0000 0.0000  8 Pt 3.20-3.41
B 0.5000 0.5000 0.0000  4 Pt 2.09
Pt 0.4016 0.1250 0.2500  2 B 2.09
Pt 0.3484 0.6250 0.2500  2 B 2.09
Pt 0.8750 0.6516 0.7500  2 B 2.09
Ca 0.7500 0.2500 0.5000  8 Pt 3.20-3.41
B 0.2500 0.7500 0.5000  4 Pt 2.09
Pt 0.3750 0.5984 0.7500  2 B 2.09

7.
A plane-wave DFT calculation with PBE was carried out for crystalline Nb3P2H at its relaxed geometry.

Values from the calculation:
DFT total energy: -7.869 eV/atom
M_tot: 0.000 μB/cell

a = 4.9323 Å, b = 6.5055 Å, c = 6.1314 Å
α = 105.37°, β = 113.72°, γ = 90.00°
With the nearest neighbours (Å) after each atom.
Positions (direct):
P 0.3169 0.4093 0.6374  6 Nb 2.52-2.61
Nb 0.5076 0.7500 0.0000  1 H 2.05
P 0.3205 0.9093 0.6374  6 Nb 2.52-2.61
Nb 0.1284 0.0645 0.2587  2 H 2.17
Nb 0.8696 0.4355 0.7413  2 H 2.17
Nb 0.1304 0.5645 0.2587  2 H 2.17
H 0.9235 0.7500 0.0000  5 Nb 2.05-2.17
P 0.6795 0.0907 0.3626  6 Nb 2.52-2.61
Nb 0.4924 0.2500 0.0000  1 H 2.05
P 0.6831 0.5907 0.3626  6 Nb 2.52-2.61
Nb 0.8716 0.9355 0.7413  2 H 2.17
H 0.0765 0.2500 0.0000  5 Nb 2.05-2.17

8.
A plane-wave DFT calculation with PBE was carried out for crystalline Pr2Zn2HgPd5 at its relaxed geometry.

Values from the calculation:
ΔE_f: -594 meV per atom
M_tot: 0.000 μB/cell

a = 3.8776 Å, b = 9.9073 Å, c = 9.9073 Å
α = 90.00°, β = 90.00°, γ = 90.00°
With the nearest neighbours (Å) after each atom.
Positions (direct):
Pd 0.5000 0.4337 0.2897  2 Zn 2.64, 2 Hg 2.92, 1 Pd 2.94
Hg 0.0000 0.0000 0.0000  8 Pd 2.92
Pd 0.5000 0.9337 0.2103  2 Zn 2.64, 2 Hg 2.92, 1 Pd 2.94
Zn 0.0000 0.1165 0.6165  6 Pd 2.53-2.64
Pd 0.5000 0.0000 0.5000  4 Zn 2.53
Pd 0.5000 0.5663 0.7103  2 Zn 2.64, 2 Hg 2.92, 1 Pd 2.94
Pr 0.0000 0.3201 0.8201  3 Zn 2.85-3.00, 6 Pd 3.18-3.19
Pd 0.5000 0.7103 0.4337  2 Zn 2.64, 2 Hg 2.92, 1 Pd 2.94
Pr 0.0000 0.8201 0.6799  3 Zn 2.85-3.00, 6 Pd 3.18-3.19
Pd 0.5000 0.5000 0.0000  4 Zn 2.53
Pd 0.5000 0.2103 0.0663  2 Zn 2.64, 2 Hg 2.92, 1 Pd 2.94
Zn 0.0000 0.3835 0.1165  6 Pd 2.53-2.64
Pd 0.5000 0.0663 0.7897  2 Zn 2.64, 2 Hg 2.92, 1 Pd 2.94
Pr 0.0000 0.6799 0.1799  3 Zn 2.85-3.00, 6 Pd 3.18-3.19
Pd 0.5000 0.7897 0.9337  2 Zn 2.64, 2 Hg 2.92, 1 Pd 2.94
Hg 0.0000 0.5000 0.5000  8 Pd 2.92
Zn 0.0000 0.6165 0.8835  6 Pd 2.53-2.64
Zn 0.0000 0.8835 0.3835  6 Pd 2.53-2.64
Pr 0.0000 0.1799 0.3201  3 Zn 2.85-3.00, 6 Pd 3.18-3.19
Pd 0.5000 0.2897 0.5663  2 Zn 2.64, 2 Hg 2.92, 1 Pd 2.94

9.
A plane-wave DFT calculation with PBE was carried out for crystalline TiV3S3 at its relaxed geometry.

Values from the calculation:
DFT total energy: -7.583 eV/atom
M_tot: 0.000 μB/cell

a = 6.3391 Å, b = 6.3391 Å, c = 7.0222 Å
α = 63.17°, β = 63.17°, γ = 60.00°
With the nearest neighbours (Å) after each atom.
Positions (direct):
S 0.8993 0.2348 0.2308  4 V 2.29-2.36, 1 Ti 2.52
Ti 0.6657 0.6657 0.0030  6 S 2.52-2.72
S 0.3650 0.1007 0.7692  4 V 2.29-2.36, 1 Ti 2.52
S 0.6350 0.8993 0.2308  4 V 2.29-2.36, 1 Ti 2.52
S 0.2348 0.6350 0.2308  4 V 2.29-2.36, 1 Ti 2.52
V 0.0914 0.5103 0.6252  4 S 2.29-2.36
V 0.4897 0.2268 0.3748  4 S 2.29-2.36
V 0.5103 0.7732 0.6252  4 S 2.29-2.36
Ti 0.3343 0.3343 0.9970  6 S 2.52-2.72
V 0.7732 0.0914 0.6252  4 S 2.29-2.36
S 0.1007 0.7652 0.7692  4 V 2.29-2.36, 1 Ti 2.52
V 0.2268 0.9086 0.3748  4 S 2.29-2.36
V 0.9086 0.4897 0.3748  4 S 2.29-2.36
S 0.7652 0.3650 0.7692  4 V 2.29-2.36, 1 Ti 2.52

10.
A plane-wave DFT calculation with PBE was carried out for crystalline CaYBe2 at its relaxed geometry.

Values from the calculation:
ΔE_f: 742 meV per atom
E above lowest polymorph: 542 meV/atom
M_tot: 0.000 μB/cell

a = 7.5496 Å, b = 7.5496 Å, c = 6.3210 Å
α = 53.33°, β = 53.33°, γ = 90.00°
With the nearest neighbours (Å) after each atom.
Positions (direct):
Be 0.1137 0.6250 0.2500  2 Y 2.74, 2 Ca 2.86
Ca 0.2500 0.7500 0.5000  4 Be 2.86
Be 0.6363 0.1250 0.2500  2 Y 2.74, 2 Ca 2.86
Y 0.0000 0.0000 0.0000  4 Be 2.74
Be 0.8750 0.8863 0.7500  2 Y 2.74, 2 Ca 2.86
Ca 0.5000 0.5000 0.0000  4 Be 2.86
Y 0.7500 0.2500 0.5000  4 Be 2.74
Be 0.3750 0.3637 0.7500  2 Y 2.74, 2 Ca 2.86

11.
A plane-wave DFT calculation with PBE was carried out for crystalline Pr2SeS at its relaxed geometry.

Values from the calculation:
E above lowest polymorph: 0 meV/atom
M_tot: 0.000 μB/cell

a = 4.1794 Å, b = 4.1794 Å, c = 7.2866 Å
α = 73.33°, β = 73.33°, γ = 60.00°
With the nearest neighbours (Å) after each atom.
Positions (direct):
Pr 0.2576 0.2576 0.2272  3 S 2.87, 3 Se 3.06
Pr 0.7424 0.7424 0.7728  3 S 2.87, 3 Se 3.06
Se 0.5000 0.5000 0.5000  6 Pr 3.06
S 0.0000 0.0000 0.0000  6 Pr 2.87

12.
A plane-wave DFT calculation with PBE was carried out for crystalline Hf3AlIn2 at its relaxed geometry.

Values from the calculation:
ΔE_f: -80 meV per atom
M_tot: 0.000 μB/cell

a = 3.0625 Å, b = 5.2247 Å, c = 8.3144 Å
α = 108.31°, β = 90.00°, γ = 90.00°
With the nearest neighbours (Å) after each atom.
Positions (direct):
Al 0.0000 0.0000 0.0000  8 Hf 2.87-3.03, 2 Al 3.06
Hf 0.5000 0.1538 0.3076  2 Al 2.87, 6 In 3.04-3.13, 2 Hf 3.06
In 0.0000 0.3269 0.6538  8 Hf 3.04-3.13, 2 In 3.06
Hf 0.5000 0.8462 0.6924  2 Al 2.87, 6 In 3.04-3.13, 2 Hf 3.06
In 0.0000 0.6731 0.3462  8 Hf 3.04-3.13, 2 In 3.06
Hf 0.5000 0.5000 0.0000  4 Al 3.03, 2 Hf 3.06, 4 In 3.13

Repeat the twelfth record exactly.
A plane-wave DFT calculation with PBE was carried out for crystalline Hf3AlIn2 at its relaxed geometry.

Values from the calculation:
ΔE_f: -80 meV per atom
M_tot: 0.000 μB/cell

a = 3.0625 Å, b = 5.2247 Å, c = 8.3144 Å
α = 108.31°, β = 90.00°, γ = 90.00°
With the nearest neighbours (Å) after each atom.
Positions (direct):
Al 0.0000 0.0000 0.0000  8 Hf 2.87-3.03, 2 Al 3.06
Hf 0.5000 0.1538 0.3076  2 Al 2.87, 6 In 3.04-3.13, 2 Hf 3.06
In 0.0000 0.3269 0.6538  8 Hf 3.04-3.13, 2 In 3.06
Hf 0.5000 0.8462 0.6924  2 Al 2.87, 6 In 3.04-3.13, 2 Hf 3.06
In 0.0000 0.6731 0.3462  8 Hf 3.04-3.13, 2 In 3.06
Hf 0.5000 0.5000 0.0000  4 Al 3.03, 2 Hf 3.06, 4 In 3.13